## w
5
Lattice="6.8690 0.0000 0.0000 0.0000 6.8690 0.0000 0.0000 0.0000 5.5657" Properties=species:S:1:pos:R:3 comment="KTe2N2 (PBE, optimized geometry)" spacegroup=P4/mmm dos_at_fermi_per_ev_atom=1.23 pbc="T T T"
K 0.0000 0.0000 0.0000
Te 0.0000 3.4345 0.0000
Te 3.4345 0.0000 0.0000
N 0.0000 0.0000 2.7828
N 3.4345 3.4345 2.7828

---

## x
5
Lattice="4.8400 0.0000 0.0000 0.0000 4.8400 0.0000 0.0000 0.0000 7.1400" Properties=species:S:1:pos:R:3 comment="KTe2N2 (PBE, optimized geometry)" spacegroup=P4/mmm dos_at_fermi_per_ev_atom=0.82 pbc="T T T"
K 0.0000 0.0000 0.0000
Te 0.0000 0.0000 3.5700
Te 2.4200 2.4200 3.5700
N 0.0000 2.4200 0.0000
N 2.4200 0.0000 0.0000

---

## y
5
Lattice="4.5388 0.0000 0.0000 0.0000 4.5388 0.0000 0.0000 0.0000 5.9283" Properties=species:S:1:pos:R:3 comment="KTe2N2 (PBE, optimized geometry)" spacegroup=P4/mmm dos_at_fermi_per_ev_atom=0.51 pbc="T T T"
K 0.0000 0.0000 0.0000
Te 2.2694 2.2694 0.0000
Te 2.2694 2.2694 2.9641
N 0.0000 2.2694 2.9641
N 2.2694 0.0000 2.9641

---

The structure with the least stability is w.